Record 1
Density functional theory data (PBE) for TlCrInBr6 after structural relaxation.

Results
V, A^3/atom: 34.9
Fermi-level density of states, states/eV/f.u.: 3.5
M_tot, μB per formula unit: 2.072
Energy relative to the elements, uncorrected, eV/atom: -0.739
Electronic total energy, eV per cell: -31.4

abc: 7.162 7.163 7.066
angles: 90.01 89.99 59.98
Fractional positions:
Cr1 0.667 0.667 0.500
Br1 0.388 0.960 0.709
Br2 0.388 0.652 0.291
Br3 0.652 0.388 0.709
Br4 0.960 0.652 0.709
Br5 0.652 0.960 0.291
Br6 0.960 0.388 0.291
In1 0.333 0.333 0.500
Tl1 0.000 0.000 0.000

***

Record 2
Density functional theory data (PBE) for LaPH2Pd after structural relaxation.

Results
Energy above the lowest structure with this stoichiometry, meV/atom: 142
V, A^3/atom: 15.3
Fermi-level density of states, states/eV/f.u.: 2.4
M_tot, μB per formula unit: 0.000
Electronic total energy, eV per cell: -24.9

abc: 4.000 4.000 4.772
angles: 90.00 90.00 90.00
Fractional positions:
Pd1 0.000 0.000 0.000
P1 0.000 0.000 0.500
H1 0.000 0.500 0.000
H2 0.500 0.000 0.000
La1 0.500 0.500 0.500

***

Record 3
Density functional theory data (PBE) for NiIr2Ru after structural relaxation.

Results
Energy above the lowest structure with this stoichiometry, meV/atom: 1128
V, A^3/atom: 19.8
Fermi-level density of states, states/eV/f.u.: 4.6
Formation enthalpy at 0 K, eV per atom: 1.118
M_tot, μB per formula unit: 0.000
Electronic total energy, eV per cell: -56.6

abc: 5.621 5.621 6.391
angles: 63.91 63.91 90.00
Fractional positions:
Ir1 0.875 0.870 0.750
Ir2 0.375 0.380 0.750
Ir3 0.620 0.125 0.250
Ir4 0.130 0.625 0.250
Ni1 0.500 0.500 0.000
Ni2 0.250 0.750 0.500
Ru1 0.750 0.250 0.500
Ru2 0.000 0.000 0.000

***

Record 4
Density functional theory data (PBE) for CeBe2AlAu5 after structural relaxation.

Results
V, A^3/atom: 19.1
Fermi-level density of states, states/eV/f.u.: 10.9
Formation enthalpy at 0 K, eV per atom: -0.250
M_tot, μB per formula unit: 1.172
Electronic total energy, eV per cell: -35.8

abc: 4.410 4.410 8.856
angles: 90.00 90.00 90.00
Fractional positions:
Be1 0.500 0.500 0.752
Be2 0.500 0.500 0.248
Au1 0.500 0.500 0.500
Au2 0.000 0.500 0.171
Au3 0.000 0.500 0.829
Au4 0.500 0.000 0.171
Au5 0.500 0.000 0.829
Al1 0.000 0.000 0.000
Ce1 0.000 0.000 0.500

***

Record 5
Density functional theory data (PBE) for SbRuI2N after structural relaxation.

Results
Energy above the lowest structure with this stoichiometry, meV/atom: 865
V, A^3/atom: 29.5
Fermi-level density of states, states/eV/f.u.: 2.3
M_tot, μB per formula unit: 3.019
Energy relative to the elements, uncorrected, eV/atom: 1.348
Electronic total energy, eV per cell: -18.1

abc: 6.116 6.116 3.939
angles: 90.00 90.00 90.00
Fractional positions:
I1 0.500 0.000 0.000
I2 0.000 0.500 0.000
N1 0.000 0.000 0.500
Ru1 0.500 0.500 0.500
Sb1 0.000 0.000 0.000

***

Record 6
Density functional theory data (PBE) for LaPm6Er2 after structural relaxation.

Results
Energy above the lowest structure with this stoichiometry, meV/atom: 0
V, A^3/atom: 33.9
Fermi-level density of states, states/eV/f.u.: 13.6
Formation enthalpy at 0 K, eV per atom: 0.019
M_tot, μB per formula unit: 0.000
Electronic total energy, eV per cell: -42.4

abc: 3.641 8.890 13.025
angles: 132.51 81.93 90.05
Fractional positions:
Pm1 0.110 0.445 0.781
Pm2 0.779 0.106 0.442
Pm3 0.221 0.894 0.558
Pm4 0.333 0.336 0.335
Pm5 0.667 0.664 0.665
Pm6 0.890 0.555 0.219
Er1 0.556 0.225 0.889
Er2 0.444 0.775 0.111
La1 0.000 0.000 0.000

***

Record 7
Density functional theory data (PBE) for LiGe2Se after structural relaxation.

Results
V, A^3/atom: 20.3
Fermi-level density of states, states/eV/f.u.: 1.8
M_tot, μB per formula unit: 0.000
Energy relative to the elements, uncorrected, eV/atom: -0.074
Electronic total energy, eV per cell: -29.9

abc: 7.749 7.749 6.111
angles: 50.65 50.65 90.00
Fractional positions:
Se1 0.000 0.000 0.000
Se2 0.750 0.250 0.500
Ge1 0.637 0.125 0.250
Ge2 0.113 0.625 0.250
Ge3 0.375 0.363 0.750
Ge4 0.875 0.887 0.750
Li1 0.500 0.500 0.000
Li2 0.250 0.750 0.500

***

Record 8
Density functional theory data (PBE) for HoZrSi2O8 after structural relaxation.

Results
V, A^3/atom: 11.9
Fermi-level density of states, states/eV/f.u.: 8.3
M_tot, μB per formula unit: 0.599
Energy relative to the elements, uncorrected, eV/atom: -2.940
Electronic total energy, eV per cell: -98.9

abc: 5.724 5.724 5.724
angles: 106.57 106.57 115.43
Fractional positions:
O1 0.929 0.252 0.323
O2 0.332 0.144 0.812
O3 0.929 0.607 0.677
O4 0.480 0.668 0.812
O5 0.393 0.071 0.323
O6 0.332 0.520 0.188
O7 0.856 0.668 0.188
O8 0.748 0.071 0.677
Ho1 0.000 0.000 0.000
Zr1 0.250 0.750 0.500
Si1 0.750 0.250 0.500
Si2 0.500 0.500 0.000